4
Lattice="0.000 3.803 3.803 3.803 0.000 3.803 3.803 3.803 0.000" Properties=species:S:1:pos:R:3 comment="TbPrGaPb (PBE, relaxed)" formation_enthalpy_0k_ev_per_atom=-0.449 e_tot_ha_per_atom=-0.1648 pbc="T T T"
Tb 0.000 0.000 0.000
Pr 3.803 3.803 3.803
Ga 5.705 5.705 5.705
Pb 1.902 1.902 1.902